DFT (PBE) results for a geometry-optimized Ac6InSi2 structure.

Unit cell a=6.286 b=7.056 c=8.794 alpha=82.46 beta=69.06 gamma=63.55
Positions (direct):
Ac  0.700  0.715  0.884
Ac  0.300  0.285  0.116
Ac  0.977  0.864  0.182
Ac  0.397  0.761  0.445
Ac  0.023  0.136  0.818
Ac  0.603  0.239  0.555
In  0.000  0.500  0.500
Si  0.274  0.625  0.827
Si  0.726  0.375  0.173

Calculated values
As for the space group: C2/m, No. 12. The raw formation energy comes out at -2.2 eV/f.u.



DFT (PBE) results for a geometry-optimized Ac2InSi2 structure.

Unit cell a=7.894 b=7.894 c=9.122 alpha=90.00 beta=90.00 gamma=90.00
Positions (direct):
Ac  0.683  0.817  0.500
Ac  0.317  0.183  0.500
Ac  0.817  0.317  0.000
Ac  0.183  0.683  0.000
Ac  0.817  0.317  0.500
Ac  0.183  0.683  0.500
Ac  0.317  0.183  0.000
Ac  0.683  0.817  0.000
In  0.500  0.500  0.250
In  0.000  0.000  0.750
In  0.500  0.500  0.750
In  0.000  0.000  0.250
Si  0.393  0.893  0.250
Si  0.607  0.107  0.250
Si  0.107  0.393  0.750
Si  0.893  0.607  0.750
Si  0.893  0.607  0.250
Si  0.107  0.393  0.250
Si  0.393  0.893  0.750
Si  0.607  0.107  0.750

Calculated values
As for the space group: P4/mbm, No. 127. The raw formation energy comes out at -2.8 eV/f.u.



DFT (PBE) results for a geometry-optimized Ac8In2Si structure.

Unit cell a=5.591 b=7.451 c=10.795 alpha=103.10 beta=105.01 gamma=90.00
Positions (direct):
Ac  0.410  0.551  0.820
Ac  0.651  0.978  0.302
Ac  0.787  0.691  0.573
Ac  0.981  0.220  0.963
Ac  0.213  0.309  0.427
Ac  0.349  0.022  0.698
Ac  0.590  0.449  0.180
Ac  0.019  0.780  0.037
In  0.817  0.253  0.634
In  0.183  0.747  0.366
Si  0.500  0.000  0.000

Calculated values
As for the space group: C2/m, No. 12. The raw formation energy comes out at -2.4 eV/f.u.



DFT (PBE) results for a geometry-optimized Ac12In6Si structure.

Unit cell a=9.108 b=9.108 c=9.108 alpha=93.22 beta=93.22 gamma=93.22
Positions (direct):
Ac  0.807  0.566  0.450
Ac  0.450  0.807  0.566
Ac  0.566  0.450  0.807
Ac  0.193  0.434  0.550
Ac  0.550  0.193  0.434
Ac  0.434  0.550  0.193
Ac  0.968  0.092  0.321
Ac  0.908  0.679  0.032
Ac  0.679  0.032  0.908
Ac  0.032  0.908  0.679
Ac  0.092  0.321  0.968
Ac  0.321  0.968  0.092
In  0.663  0.860  0.265
In  0.735  0.337  0.140
In  0.140  0.735  0.337
In  0.337  0.140  0.735
In  0.265  0.663  0.860
In  0.860  0.265  0.663
Si  0.000  0.000  0.000

Calculated values
As for the space group: R-3, No. 148. The raw formation energy comes out at -4.4 eV/f.u.